## LaTl2Au (PBE)

Data for a geometry-optimized LaTl2Au structure.

Cell: 4.0069 4.3457 6.9283 Å, 90.00 106.68 90.00°
With the nearest neighbours (Å) after each atom.
Space group Pm (No. 6)
Inequivalent atoms, fractional coordinates:
La1 0.0000 0.0000 0.0000 (multiplicity 1)  4 Au 3.14
Tl1 0.2638 0.0000 0.5311 (multiplicity 1)  2 Au 2.98, 4 Tl 3.26
Tl2 0.6617 0.5000 0.3250 (multiplicity 1)  1 Au 3.22, 4 Tl 3.26
Au1 0.4204 0.5000 0.8392 (multiplicity 1)  3 Tl 2.98-3.22, 4 La 3.14

Output
size of the total moment = 0.0 μB/cell
DFT formation energy = -356 meV/atom
energy above the lowest structure with this stoichiometry = 0.126 eV/atom

***

## Sm3Ho5Se12 (PBE)

Data for a geometry-optimized Sm3Ho5Se12 structure.

Cell: 16.8936 16.8936 16.8936 Å, 90.00 90.00 90.00°
With the nearest neighbours (Å) after each atom.
Space group Ia-3d (No. 230)
Inequivalent atoms, fractional coordinates:
Sm1 0.0000 0.2500 0.1250 (multiplicity 24)  8 Se 3.11-3.21
Ho1 0.0000 0.0000 0.0000 (multiplicity 16)  6 Se 2.85
Ho2 0.0000 0.2500 0.3750 (multiplicity 24)  4 Se 2.67
Se1 0.0223 0.0696 0.6522 (multiplicity 96)  2 Ho 2.67-2.85

Output
size of the total moment = 0.0 μB/cell
energy relative to the elements, uncorrected = -1.6924 eV per atom

***

## ThHg2H (PBE)

Data for a geometry-optimized ThHg2H structure.

Cell: 3.5102 3.4811 15.0749 Å, 90.00 96.84 90.00°
With the nearest neighbours (Å) after each atom.
Space group P2_1/m (No. 11)
Inequivalent atoms, fractional coordinates:
Th1 0.2099 0.2500 0.4106 (multiplicity 2)  5 H 2.41-2.49
Hg1 0.0259 0.7500 0.0842 (multiplicity 2)  6 Hg 3.07-3.28
Hg2 0.3865 0.7500 0.7753 (multiplicity 2)  8 Hg 3.22-3.51, 2 Th 3.29, 2 H 3.51
H1 0.2811 0.2500 0.5716 (multiplicity 2)  5 Th 2.41-2.49

Output
size of the total moment = 0.0 μB/cell
energy = -2.970 eV per atom

***

## SrAlIr (PBE)

Data for a geometry-optimized SrAlIr structure.

Cell: 3.2809 3.2809 11.8149 Å, 90.00 90.00 90.00°
With the nearest neighbours (Å) after each atom.
Space group I4mm (No. 107)
Inequivalent atoms, fractional coordinates:
Sr1 0.0000 0.0000 0.0000 (multiplicity 2)  4 Ir 3.23, 4 Sr 3.28, 5 Al 3.32-3.48
Al1 0.0000 0.0000 0.7192 (multiplicity 2)  4 Ir 2.55
Ir1 0.0000 0.0000 0.3094 (multiplicity 2)  4 Al 2.55

Output
size of the total moment = 0.0 μB/cell
DFT formation energy = -362 meV/atom

***

## AcPmTlIn (PBE)

Data for a geometry-optimized AcPmTlIn structure.

Cell: 8.0093 8.0093 8.0093 Å, 90.00 90.00 90.00°
With the nearest neighbours (Å) after each atom.
Space group F-43m (No. 216)
Inequivalent atoms, fractional coordinates:
Ac1 0.0000 0.0000 0.0000 (multiplicity 4)  4 Tl 3.47, 4 In 3.47
Pm1 0.0000 0.0000 0.5000 (multiplicity 4)  4 In 3.47, 4 Tl 3.47
Tl1 0.2500 0.2500 0.2500 (multiplicity 4)  4 Ac 3.47, 4 Pm 3.47
In1 0.2500 0.2500 0.7500 (multiplicity 4)  4 Ac 3.47, 4 Pm 3.47

Output
size of the total moment = 0.0 μB/cell
DFT formation energy = -389 meV/atom
energy above the lowest structure with this stoichiometry = 0.021 eV/atom

***

## Hf6InTc5 (PBE)

Data for a geometry-optimized Hf6InTc5 structure.

Cell: 4.6459 6.7052 13.8925 Å, 90.00 90.00 90.00°
With the nearest neighbours (Å) after each atom.
Space group Immm (No. 71)
Inequivalent atoms, fractional coordinates:
Hf1 0.0000 0.2286 0.0000 (multiplicity 4)  6 Tc 2.78-2.89, 2 In 2.95, 1 Hf 3.07
Hf2 0.0000 0.2602 0.3269 (multiplicity 8)  7 Tc 2.80-2.91, 1 In 2.97
In1 0.0000 0.0000 0.5000 (multiplicity 2)  8 Hf 2.95-2.97, 4 Tc 3.23
Tc1 0.0000 0.0000 0.1678 (multiplicity 4)  8 Hf 2.79-2.83
Tc2 0.0000 0.5000 0.1615 (multiplicity 4)  8 Hf 2.80-2.91
Tc3 0.0000 0.5000 0.5000 (multiplicity 2)  8 Hf 2.78-2.89

Output
size of the total moment = 0.0 μB/cell
DFT formation energy = -447 meV/atom

***

## SrTl3Pb (PBE)

Data for a geometry-optimized SrTl3Pb structure.

Cell: 6.0947 6.0947 6.0947 Å, 90.00 90.00 90.00°
With the nearest neighbours (Å) after each atom.
Space group Pm-3m (No. 221)
Inequivalent atoms, fractional coordinates:
Sr1 0.0000 0.0000 0.0000 (multiplicity 1)  6 Tl 3.05
Tl1 0.0000 0.0000 0.5000 (multiplicity 3)  2 Sr 3.05
Pb1 0.5000 0.5000 0.5000 (multiplicity 1)  12 Tl 4.31

Output
size of the total moment = 0.0 μB/cell
DFT formation energy = 523 meV/atom
energy above the lowest structure with this stoichiometry = 0.698 eV/atom

***

## LiHgTe3 (PBE)

Data for a geometry-optimized LiHgTe3 structure.

Cell: 5.1892 5.1892 5.1892 Å, 90.00 90.00 90.00°
With the nearest neighbours (Å) after each atom.
Space group Pm-3m (No. 221)
Inequivalent atoms, fractional coordinates:
Li1 0.0000 0.0000 0.0000 (multiplicity 1)  6 Te 2.59
Hg1 0.5000 0.5000 0.5000 (multiplicity 1)  12 Te 3.67
Te1 0.0000 0.0000 0.5000 (multiplicity 3)  2 Li 2.59

Output
size of the total moment = 0.0 μB/cell
energy above the lowest structure with this stoichiometry = 0.000 eV/atom
energy relative to the elements, uncorrected = 0.2189 eV per atom

***

## Y5Au (PBE)

Data for a geometry-optimized Y5Au structure.

Cell: 6.0995 6.0995 5.3170 Å, 90.00 90.00 120.00°
With the nearest neighbours (Å) after each atom.
Space group P-62m (No. 189)
Inequivalent atoms, fractional coordinates:
Y1 0.0000 0.6932 0.0000 (multiplicity 3)  6 Y 3.24-3.40, 2 Au 3.25
Y2 0.3333 0.6667 0.5000 (multiplicity 2)  9 Y 3.40-3.52, 3 Au 3.52
Au1 0.0000 0.0000 0.5000 (multiplicity 1)  12 Y 3.25-3.52

Output
size of the total moment = 0.0 μB/cell
DFT formation energy = -108 meV/atom
energy above the lowest structure with this stoichiometry = 0.151 eV/atom

***

## CaCeTlAu (PBE)

Data for a geometry-optimized CaCeTlAu structure.

Cell: 3.6618 3.6618 8.0520 Å, 90.00 90.00 90.00°
With the nearest neighbours (Å) after each atom.
Space group P4mm (No. 99)
Inequivalent atoms, fractional coordinates:
Ca1 0.0000 0.0000 0.0000 (multiplicity 1)  4 Au 3.19, 4 Tl 3.39
Ce1 0.0000 0.0000 0.4565 (multiplicity 1)  4 Au 3.16, 4 Tl 3.39
Tl1 0.5000 0.5000 0.7290 (multiplicity 1)  4 Ca 3.39, 4 Ce 3.39, 4 Tl 3.66
Au1 0.5000 0.5000 0.2305 (multiplicity 1)  4 Ce 3.16, 4 Ca 3.19

Output
size of the total moment = 0.9 μB/cell
DFT formation energy = -516 meV/atom
energy above the lowest structure with this stoichiometry = 0.000 eV/atom

***

## TlW2Cl (PBE)

Data for a geometry-optimized TlW2Cl structure.

Cell: 3.2804 3.0975 8.8686 Å, 90.00 100.16 90.00°
With the nearest neighbours (Å) after each atom.
Space group Pm (No. 6)
Inequivalent atoms, fractional coordinates:
Tl1 0.0000 0.0000 0.0000 (multiplicity 1)  4 Tl 3.10-3.28, 4 W 3.10-3.14
W1 0.3948 0.5000 0.7527 (multiplicity 1)  4 W 2.58-2.75
W2 0.7755 0.0000 0.5906 (multiplicity 1)  2 Cl 2.49, 4 W 2.58-2.75
Cl1 0.6575 0.5000 0.3677 (multiplicity 1)  2 W 2.49

Output
size of the total moment = 0.0 μB/cell
energy above the lowest structure with this stoichiometry = 0.000 eV/atom
energy relative to the elements, uncorrected = 0.2911 eV per atom

***

## Zr5Pt4 (PBE)

Data for a geometry-optimized Zr5Pt4 structure.

Cell: 8.6656 8.6656 5.4295 Å, 90.00 90.00 120.00°
With the nearest neighbours (Å) after each atom.
Space group P6_3/mcm (No. 193)
Inequivalent atoms, fractional coordinates:
Zr1 0.0000 0.2813 0.2500 (multiplicity 6)  5 Pt 2.73-2.92
Zr2 0.3333 0.6667 0.0000 (multiplicity 4)  2 Zr 2.71, 6 Pt 2.96
Pt1 0.0000 0.0000 0.0000 (multiplicity 2)  2 Pt 2.71, 6 Zr 2.79
Pt2 0.0000 0.4042 0.7500 (multiplicity 6)  7 Zr 2.73-2.96

Output
size of the total moment = 0.0 μB/cell
DFT formation energy = -885 meV/atom
energy above the lowest structure with this stoichiometry = 0.000 eV/atom